# TbY2WO8 PBE with a Hubbard U optimized geometry
# Total energy   -0.6027 Ry/atom
# Total magnetization   0.068 μB per atom
data_TbY2WO8
_chemical_formula_sum 'Tb1 Y2 W1 O8'
_cell_length_a 5.066
_cell_length_b 6.849
_cell_length_c 5.066
_cell_angle_alpha 90.00
_cell_angle_beta 90.78
_cell_angle_gamma 90.00
_space_group_name_H-M_alt 'P 1 2/m 1'
_space_group_IT_number 10
_space_group_name_Hall '-P 2y'
loop_
_atom_site_label
_atom_site_type_symbol
_atom_site_fract_x
_atom_site_fract_y
_atom_site_fract_z
Tb1 Tb 0.000 0.000 0.000
Y1 Y 0.500 0.252 0.500
W1 W 0.000 0.500 0.000
O1 O 0.183 0.289 0.818
O2 O 0.274 0.500 0.276
O3 O 0.308 0.000 0.309